DFT (PBE-GGA) results for a relaxed structure of Hg2AsPdSe.

a = 5.2254 Å, b = 5.2254 Å, c = 4.7561 Å
α = 90.00°, β = 90.00°, γ = 90.00°
With the nearest neighbours (Å) after each atom.
Space group P4/mmm (No. 123)
Unique sites:
Hg: 0.0000 0.5000 0.0000 [2 per cell]  2 As 2.61
As: 0.0000 0.0000 0.0000 [1 per cell]  2 Pd 2.38, 4 Hg 2.61
Pd: 0.0000 0.0000 0.5000 [1 per cell]  2 As 2.38
Se: 0.5000 0.5000 0.5000 [1 per cell]  8 Hg 3.53, 4 Pd 3.69

Computed properties:
Energy = -12.08 eV per cell
Volume = 130 Å³ per cell
Energy relative to the elements, uncorrected = 1.9 eV per formula unit